Density functional theory data (PBE) for a geometry-optimized Ac6CoSi2Br3 structure. Values from VASP.

Structure (Quantum ESPRESSO input):
```
&SYSTEM
  ibrav = 0, nat = 12, ntyp = 4
/
ATOMIC_SPECIES
Ac 227.00 Ac.upf
Br 79.90 Br.upf
Co 58.93 Co.upf
Si 28.09 Si.upf
CELL_PARAMETERS angstrom
-0.4035 -5.8033 -5.1642
5.2016 5.6729 -1.1277
3.5718 -3.9058 6.1448
ATOMIC_POSITIONS crystal
Ac 0.9317 0.6217 0.7979
Ac 0.6217 0.9317 0.7979
Ac 0.3783 0.0683 0.2021
Ac 0.2480 0.2480 0.7814
Ac 0.7520 0.7520 0.2186
Ac 0.0683 0.3783 0.2021
Br 0.5000 0.5000 0.5000
Br 0.8186 0.1814 0.5000
Br 0.1814 0.8186 0.5000
Co 0.0000 0.0000 0.0000
Si 0.3349 0.6651 0.0000
Si 0.6651 0.3349 0.0000
```

Calculated values
* DOS at the Fermi energy: 0.906 states/eV per atom
* E_form (uncorrected): -86.4 kJ per mole of atoms
* crystal system: monoclinic
* magnetization: 0.02 μB per formula unit